Entry 1:
The following is a DFT calculation (PBE) of a relaxed TaTeW2 crystal.

a b c (Å): 3.2682 3.2682 6.8875
angles (deg): 90.00 90.00 90.00
Last column: nearest neighbours and their distance in Å.
Atoms (fractional coordinates):
Ta 0.0000 0.0000 0.0000  5 W 2.83-3.07, 4 Te 2.98
Te 0.5000 0.5000 0.2737  4 Ta 2.98, 4 W 3.01, 4 Te 3.27
W 0.0000 0.0000 0.5542  4 W 2.72, 4 Te 3.01
W 0.5000 0.5000 0.7637  4 W 2.72, 4 Ta 2.83

Summary:
- V (Å³ per cell) = 74
- density of states at the Fermi level (states/eV/atom) = 1.180
- uncorrected formation energy (eV per atom) = 0.406
- total magnetic moment (μB/cell) = 0.000

---

Entry 2:
The following is a DFT calculation (PBE) of a relaxed FeNi5Pt6 crystal.

a b c (Å): 6.0744 6.0744 7.3365
angles (deg): 90.00 90.00 143.06
Last column: nearest neighbours and their distance in Å.
Atoms (fractional coordinates):
Fe 0.0000 0.0000 0.0000  8 Pt 2.65-2.66, 4 Ni 2.70
Ni 0.0000 0.0000 0.5000  8 Pt 2.66, 4 Ni 2.70
Ni 0.3352 0.6648 0.0000  8 Pt 2.63-2.67, 2 Fe 2.70, 2 Ni 2.75
Ni 0.3359 0.6641 0.5000  8 Pt 2.64-2.67, 4 Ni 2.70-2.76
Ni 0.6641 0.3359 0.5000  8 Pt 2.64-2.67, 4 Ni 2.70-2.76
Ni 0.6648 0.3352 0.0000  8 Pt 2.63-2.67, 2 Fe 2.70, 2 Ni 2.75
Pt 0.1672 0.8328 0.2499  7 Ni 2.66-2.67, 1 Fe 2.66, 4 Pt 2.71-2.72
Pt 0.1672 0.8328 0.7501  7 Ni 2.66-2.67, 1 Fe 2.66, 4 Pt 2.71-2.72
Pt 0.5000 0.5000 0.2488  6 Ni 2.63-2.66, 2 Fe 2.65, 4 Pt 2.72
Pt 0.5000 0.5000 0.7512  6 Ni 2.63-2.66, 2 Fe 2.65, 4 Pt 2.72
Pt 0.8328 0.1672 0.2499  7 Ni 2.66-2.67, 1 Fe 2.66, 4 Pt 2.71-2.72
Pt 0.8328 0.1672 0.7501  7 Ni 2.66-2.67, 1 Fe 2.66, 4 Pt 2.71-2.72

Summary:
- V (Å³ per cell) = 163
- energy above the most stable polymorph in this dataset (meV/atom) = 0
- density of states at the Fermi level (states/eV/atom) = 1.260
- total magnetic moment (μB/cell) = 8.515

---

Entry 3:
The following is a DFT calculation (PBE) of a relaxed CeTm5 crystal.

a b c (Å): 6.0441 6.0441 6.9487
angles (deg): 106.46 106.46 48.57
Last column: nearest neighbours and their distance in Å.
Atoms (fractional coordinates):
Ce 0.0000 0.0000 0.0000  12 Tm 3.47-3.49
Tm 0.0000 0.0000 0.5000  2 Ce 3.47, 10 Tm 3.50-3.51
Tm 0.3335 0.3335 0.1645  9 Tm 3.45-3.51, 3 Ce 3.49
Tm 0.3342 0.3342 0.6688  10 Tm 3.45-3.52, 2 Ce 3.49
Tm 0.6658 0.6658 0.3312  10 Tm 3.45-3.52, 2 Ce 3.49
Tm 0.6665 0.6665 0.8355  9 Tm 3.45-3.51, 3 Ce 3.49

Summary:
- V (Å³ per cell) = 181
- energy above the most stable polymorph in this dataset (meV/atom) = 0
- density of states at the Fermi level (states/eV/atom) = 1.788
- total magnetic moment (μB/cell) = 1.079

---

Entry 4:
The following is a DFT calculation (PBE) of a relaxed Hf5Ti2Al4 crystal.

a b c (Å): 10.3433 10.3433 10.3433
angles (deg): 162.81 137.56 46.10
Last column: nearest neighbours and their distance in Å.
Atoms (fractional coordinates):
Hf 0.0000 0.0000 0.0000  4 Al 2.80, 2 Hf 3.09
Hf 0.0594 0.3515 0.7079  4 Al 2.86-3.05, 2 Ti 2.91, 3 Hf 3.09-3.11
Hf 0.3564 0.6485 0.7079  4 Al 2.86-3.05, 2 Ti 2.91, 3 Hf 3.09-3.11
Hf 0.6436 0.3515 0.2921  4 Al 2.86-3.05, 2 Ti 2.91, 3 Hf 3.09-3.11
Hf 0.9406 0.6485 0.2921  4 Al 2.86-3.05, 2 Ti 2.91, 3 Hf 3.09-3.11
Ti 0.4118 0.9118 0.5000  5 Al 2.61-2.68, 4 Hf 2.91
Ti 0.5881 0.0882 0.5000  5 Al 2.61-2.68, 4 Hf 2.91
Al 0.2747 0.7747 0.5000  1 Ti 2.61, 2 Hf 2.86
Al 0.3115 0.5000 0.8115  4 Ti 2.68, 4 Hf 2.80-2.93, 1 Al 2.82
Al 0.6885 0.5000 0.1885  4 Ti 2.68, 4 Hf 2.80-2.93, 1 Al 2.82
Al 0.7253 0.2253 0.5000  1 Ti 2.61, 2 Hf 2.86

Summary:
- V (Å³ per cell) = 220
- density of states at the Fermi level (states/eV/atom) = 0.924
- electronic total energy (eV per atom) = -7.3779
- total magnetic moment (μB/cell) = 0.000